Entry from the Alexandria database: an optimized crystal structure of ScMnAlF2 (PBE with a Hubbard U).

Properties
- Electronic total energy: -5.9244 eV per atom
- Fermi-level density of states: 0.3243 states/eV/atom
- Space group: P4/mmm (123)
- Total moment: 4.5 μB/f.u.
- V: 20.25 Å³ per atom

Unit cell a=3.9984 b=3.9984 c=6.3332 alpha=90.00 beta=90.00 gamma=90.00
Sites, in units of the cell vectors:
Sc1 0.0000 0.0000 0.0000
Mn1 0.5000 0.5000 0.5000
Al1 0.0000 0.0000 0.5000
F1 0.0000 0.5000 0.0000
F2 0.5000 0.0000 0.0000